18
Lattice="-1.0277 1.2042 -4.8270 3.4532 -3.5760 1.0458 -6.7353 -6.5633 -0.2035" Properties=species:S:1:pos:R:3 comment="PBE with a Hubbard U LiVReO6, optimized geometry" sg="P-31c (163)" final_energy_ev_per_atom=-7.436 magmom_total_mub_per_cell=2.0 pbc="T T T"
Li 0.0000 0.0000 0.0000
Li -3.3676 -3.2817 -0.1017
V -1.2179 -2.0300 -2.9203
V -3.0919 -6.9051 -1.0644
Re 0.2757 -3.6235 -0.9627
Re -4.5855 -5.3117 -3.0220
O 0.6241 -2.4387 -2.4067
O 0.3290 -2.2203 0.3174
O -4.6536 -3.7790 -1.9011
O -4.6388 -6.7148 -4.3021
O -1.5292 -3.2543 -1.4277
O -0.2320 -4.6471 0.5555
O -6.4283 -4.9109 -3.2537
O 0.3439 -5.1562 -2.0836
O -4.0778 -4.2881 -4.5401
O 2.1186 -4.0242 -0.7309
O -2.7806 -5.6808 -2.5570
O -4.9339 -6.4965 -1.5780